Below is crystalline AlReTc2 at its relaxed geometry, with properties calculated at the PBEsol level.

It has space group P4/mmm (No. 123), with a = 2.9785 Å, b = 2.9785 Å, c = 6.3122 Å, α = 90.00°, β = 90.00° and γ = 90.00°. The inequivalent atoms are Al at (0.0000, 0.0000, 0.0000), Re at (0.0000, 0.0000, 0.5000) and Tc at (0.5000, 0.5000, 0.2484).

As for the crystal system: tetragonal. As for the volume: 14.0 Å³ per atom. As for the formation energy: -196 meV/atom. Its magnetic moment is 0.00 μB per atom.

---

Below is crystalline Al2ReTe at its relaxed geometry, with properties calculated at the PBEsol level.

It has space group P4/mmm (No. 123), with a = 4.5026 Å, b = 4.5026 Å, c = 3.3592 Å, α = 90.00°, β = 90.00° and γ = 90.00°. The inequivalent atoms are Al at (0.0000, 0.5000, 0.0000), Re at (0.0000, 0.0000, 0.5000) and Te at (0.5000, 0.5000, 0.5000).

As for the crystal system: tetragonal. As for the volume: 17.0 Å³ per atom. Its raw formation energy is 0.43 eV/atom. Its magnetic moment is 0.00 μB per atom.

---

Below is crystalline AlReTe2 at its relaxed geometry, with properties calculated at the PBEsol level.

It has space group Cmmm (No. 65), with a = 4.8667 Å, b = 10.6284 Å, c = 4.0292 Å, α = 90.00°, β = 90.00° and γ = 90.00°. The inequivalent atoms are Al at (0.0000, 0.0000, 0.0000), Re at (0.0000, 0.5000, 0.0000) and Te at (0.0000, 0.3398, 0.5000).

As for the crystal system: orthorhombic. As for the volume: 26.1 Å³ per atom. Its raw formation energy is 0.34 eV/atom. Its magnetic moment is 0.00 μB per atom.

---

Below is crystalline AlReTe2 at its relaxed geometry, with properties calculated at the PBEsol level.

It has space group Imm2 (No. 44), with a = 3.1548 Å, b = 4.5263 Å, c = 12.0152 Å, α = 90.00°, β = 90.00° and γ = 90.00°. The inequivalent atoms are Al at (0.0000, 0.0000, 0.0000), Re at (0.0000, 0.5000, 0.6885), Te at (0.0000, 0.0000, 0.3727) and Te at (0.0000, 0.5000, 0.1504).

As for the crystal system: orthorhombic. As for the volume: 21.4 Å³ per atom. Its raw formation energy is 0.42 eV/atom. Its magnetic moment is 0.00 μB per atom.

---

Below is crystalline Al2ReTe at its relaxed geometry, with properties calculated at the PBEsol level.

It has space group Pmmm (No. 47), with a = 3.3446 Å, b = 4.4046 Å, c = 4.6186 Å, α = 90.00°, β = 90.00° and γ = 90.00°. The inequivalent atoms are Al at (0.0000, 0.0000, 0.0000), Al at (0.5000, 0.0000, 0.5000), Re at (0.0000, 0.5000, 0.5000) and Te at (0.5000, 0.5000, 0.0000).

As for the crystal system: orthorhombic. As for the volume: 17.0 Å³ per atom. Its raw formation energy is 0.48 eV/atom. Its magnetic moment is 0.00 μB per atom.

---

Below is crystalline AlTl2Re at its relaxed geometry, with properties calculated at the PBEsol level.

It has space group P4/mmm (No. 123), with a = 3.6471 Å, b = 3.6471 Å, c = 5.7097 Å, α = 90.00°, β = 90.00° and γ = 90.00°. The inequivalent atoms are Al at (0.0000, 0.0000, 0.0000), Tl at (0.5000, 0.5000, 0.2525) and Re at (0.0000, 0.0000, 0.5000).

As for the crystal system: tetragonal. As for the volume: 19.0 Å³ per atom. As for the formation energy: 783 meV/atom. Its offset from the most stable computed form is 266 meV per atom. Its magnetic moment is 0.00 μB per atom.